The following is a PBE calculation of crystalline Re2SiSe at its relaxed geometry, from Alexandria via LeMat-Bulk.

final energy: -8.2027 eV per atom
total magnetization: 0.0000 μB per atom
space group: No. 160

a b c (Å): 8.0546 8.0546 8.0546
angles (deg): 21.53 21.53 21.53
Positions (direct):
Se: 0.5017 0.5017 0.5017
Si: 0.7463 0.7463 0.7463
Re: 0.2468 0.2468 0.2468
Re: 0.0052 0.0052 0.0052

---

The following is a PBE calculation of crystalline Re2SiSe at its relaxed geometry, from Alexandria via LeMat-Bulk.

final energy: -7.6458 eV per atom
total magnetization: 0.0001 μB per atom
space group: No. 216

a b c (Å): 4.4382 4.4382 4.4382
angles (deg): 60.00 60.00 60.00
Positions (direct):
Re: 0.0000 0.0000 0.0000
Re: 0.2500 0.2500 0.2500
Se: 0.5000 0.5000 0.5000
Si: 0.7500 0.7500 0.7500

---

The following is a PBE calculation of crystalline Re2SiSe at its relaxed geometry, from Alexandria via LeMat-Bulk.

final energy: -7.8768 eV per atom
total magnetization: 0.0000 μB per atom
space group: No. 119

a b c (Å): 4.7061 4.7061 4.7061
angles (deg): 129.59 129.59 74.06
Positions (direct):
Si: 0.7500 0.2500 0.5000
Se: 0.5000 0.5000 0.0000
Re: 0.2500 0.7500 0.5000
Re: 0.0000 0.0000 0.0000

---

no.,E above lowest polymorph (eV per atom)
1,0.1169
2,0.6738
3,0.4428